Density functional theory data (PBE) for a geometry-optimized Tb2In2Pd7 structure.

```
11
Lattice="-4.584 3.509 -0.729 -4.371 -5.587 0.590 0.676 0.082 5.779" Properties=species:S:1:pos:R:3 pbc="T T T"
Tb -3.010 2.482 1.220
Tb -5.270 -4.477 4.420
In -5.352 0.117 4.387
In -2.927 -2.112 1.253
Pd -0.946 -1.599 3.063
Pd -5.380 -2.191 0.053
Pd -7.333 -0.396 2.577
Pd -2.899 0.196 5.587
Pd 0.000 0.000 0.000
Pd -5.036 -2.141 2.940
Pd -3.244 0.146 2.700
```

Values from the calculation:
ΔE_f = -3.287 eV per formula unit
total energy = -54.37 eV for the cell shown
crystal system = orthorhombic
symmetry = No. 65

Density functional theory data (PBE) for a geometry-optimized TbThInPd structure.

```
4
Lattice="-2.256 -0.628 -4.716 -4.871 -1.969 -0.347 -3.999 3.107 -1.440" Properties=species:S:1:pos:R:3 pbc="T T T"
Tb -8.345 0.383 -4.877
Pd -5.563 0.255 -3.251
Th -2.782 0.128 -1.626
In 0.000 0.000 0.000
```

Values from the calculation:
ΔE_f = -1.741 eV per formula unit
total energy = -21.72 eV for the cell shown
crystal system = cubic
symmetry = No. 216

Density functional theory data (PBE) for a geometry-optimized TbZnInPd structure.

```
4
Lattice="4.825 0.000 0.000 2.413 4.179 0.000 2.413 1.393 3.940" Properties=species:S:1:pos:R:3 pbc="T T T"
Zn 0.000 0.000 0.000
Tb 7.238 4.179 2.955
Pd 4.825 2.786 1.970
In 2.413 1.393 0.985
```

Values from the calculation:
ΔE_f = -2.380 eV per formula unit
total energy = -16.22 eV for the cell shown
crystal system = cubic
symmetry = No. 216

Density functional theory data (PBE) for a geometry-optimized In2TcPd structure.

```
8
Lattice="7.325 0.000 0.000 0.000 7.325 0.000 3.662 3.662 2.968" Properties=species:S:1:pos:R:3 pbc="T T T"
Tc 3.662 3.662 0.000
Tc 3.662 7.325 1.484
Pd 0.000 0.000 0.000
Pd 7.325 3.662 1.484
In 5.562 1.831 0.742
In 1.763 5.494 0.742
In 5.494 5.425 2.226
In 9.156 9.225 2.226
```

Values from the calculation:
ΔE_f = 1.494 eV per formula unit
total energy = -39.08 eV for the cell shown
crystal system = tetragonal
symmetry = No. 122

Density functional theory data (PBE) for a geometry-optimized In3TcPd structure.

```
5
Lattice="-2.221 2.046 4.138 -4.016 -3.120 -0.613 2.275 -3.510 2.957" Properties=species:S:1:pos:R:3 pbc="T T T"
Tc 0.000 0.000 0.000
Pd -1.981 -2.292 3.241
In -2.008 -1.560 -0.306
In 1.138 -1.755 1.478
In -1.110 1.023 2.069
```

Values from the calculation:
ΔE_f = 2.817 eV per formula unit
total energy = -20.96 eV for the cell shown
crystal system = cubic
energy above the lowest structure with this stoichiometry = 0.00 kcal/mol of atoms
symmetry = No. 221

Density functional theory data (PBE) for a geometry-optimized InTc3Pd structure.

```
5
Lattice="4.769 0.000 0.000 0.000 4.769 0.000 0.000 0.000 4.769" Properties=species:S:1:pos:R:3 pbc="T T T"
Tc 0.000 2.384 0.000
Tc 0.000 0.000 2.384
Tc 2.384 0.000 0.000
Pd 0.000 0.000 0.000
In 2.384 2.384 2.384
```

Values from the calculation:
ΔE_f = 9.324 eV per formula unit
total energy = -29.71 eV for the cell shown
crystal system = cubic
energy above the lowest structure with this stoichiometry = 0.00 kcal/mol of atoms
symmetry = No. 221

Density functional theory data (PBE) for a geometry-optimized In2TcPd structure.

```
4
Lattice="3.415 0.000 0.000 0.000 4.532 0.000 0.000 0.000 4.532" Properties=species:S:1:pos:R:3 pbc="T T T"
Tc 1.708 0.000 0.000
Pd 1.708 2.266 2.266
In 0.000 0.000 2.266
In 0.000 2.266 0.000
```

Values from the calculation:
ΔE_f = -0.443 eV per formula unit
total energy = -21.48 eV for the cell shown
crystal system = tetragonal
symmetry = No. 123

Density functional theory data (PBE) for a geometry-optimized TiInTcPd structure.

```
4
Lattice="-0.682 2.188 -3.896 -4.137 0.147 -1.816 -2.316 3.882 -0.036" Properties=species:S:1:pos:R:3 pbc="T T T"
Ti -3.567 3.109 -2.874
Tc -1.783 1.554 -1.437
Pd -5.350 4.663 -4.311
In 0.000 0.000 0.000
```

Values from the calculation:
ΔE_f = -1.278 eV per formula unit
total energy = -27.47 eV for the cell shown
crystal system = cubic
symmetry = No. 216

Density functional theory data (PBE) for a geometry-optimized ZrInTcPd structure.

```
4
Lattice="-3.095 -3.238 -1.268 -1.494 -3.133 3.102 -4.368 0.204 1.596" Properties=species:S:1:pos:R:3 pbc="T T T"
Zr 0.000 0.000 0.000
Tc -2.239 -1.542 0.858
Pd -6.718 -4.625 2.573
In -4.479 -3.083 1.715
```

Values from the calculation:
ΔE_f = -1.354 eV per formula unit
total energy = -28.20 eV for the cell shown
crystal system = cubic
symmetry = No. 216

Density functional theory data (PBE) for a geometry-optimized InTe3Pd structure.

```
5
Lattice="-1.352 1.467 4.997 -4.748 -2.469 -0.559 2.140 -4.550 1.914" Properties=species:S:1:pos:R:3 pbc="T T T"
Te -2.374 -1.234 -0.280
Te 1.070 -2.275 0.957
Te -0.676 0.733 2.499
Pd 0.000 0.000 0.000
In -1.979 -2.776 3.176
```

Values from the calculation:
ΔE_f (raw) = 0.132 eV/atom
total energy = -16.70 eV for the cell shown
crystal system = cubic
energy above the lowest structure with this stoichiometry = 8.12 kcal/mol of atoms
symmetry = No. 221

Density functional theory data (PBE) for a geometry-optimized InTe8Pd4 structure.

```
13
Lattice="7.114 0.000 4.107 2.371 6.707 4.107 0.000 0.000 8.215" Properties=species:S:1:pos:R:3 pbc="T T T"
In 7.114 5.030 12.322
Te 4.489 0.928 4.107
Te 2.371 3.923 4.107
Te 1.313 0.928 5.941
Te 1.313 0.928 2.274
Te 2.693 4.078 8.215
Te 4.743 1.180 8.215
Te 5.768 4.078 6.440
Te 5.768 4.078 9.990
Pd 7.204 2.483 8.215
Pd 4.743 5.964 8.215
Pd 3.512 2.483 10.346
Pd 3.512 2.483 6.083
```

Values from the calculation:
ΔE_f (raw) = -0.248 eV/atom
total energy = -51.87 eV for the cell shown
crystal system = cubic
symmetry = No. 216

Density functional theory data (PBE) for a geometry-optimized InTePd3 structure.

```
5
Lattice="5.009 0.000 0.000 0.000 5.009 0.000 0.000 0.000 5.009" Properties=species:S:1:pos:R:3 pbc="T T T"
Te 0.000 0.000 0.000
Pd 0.000 2.504 0.000
Pd 0.000 0.000 2.504
Pd 2.504 0.000 0.000
In 2.504 2.504 2.504
```

Values from the calculation:
ΔE_f (raw) = 0.174 eV/atom
total energy = -20.59 eV for the cell shown
crystal system = cubic
energy above the lowest structure with this stoichiometry = 11.26 kcal/mol of atoms
symmetry = No. 221

Listing magnetic moment for the structures above in their given order: 0.00 0.36 0.00 1.02 0.00 5.47 0.00 0.00 0.00 0.00 0.00 0.00 μB per formula unit.